An optimized crystal structure of CaHS3. Source: Alexandria, functional PBE-GGA.

Summary:
- Uncorrected energy: -14.4 eV per cell
- Volume: 33.011 Å³ per atom
- Density of states at the Fermi level: 2.92 states/eV per cell
- Density: 1.38 Mg/m³

Geometry as extended XYZ:
```
5
Lattice="-5.124 -1.358 1.410 1.695 -5.054 1.292 0.979 1.643 5.141" Properties=species:S:1:pos:R:3 pbc="T T T"
S -2.562 -0.679 0.705
S 0.848 -2.527 0.646
S 0.490 0.821 2.571
H -1.225 -2.385 3.922
Ca 0.000 0.000 0.000
```



An optimized crystal structure of CaH2S8. Source: Alexandria, functional PBE-GGA.

Summary:
- Uncorrected energy: -44.5 eV per cell
- Volume: 23.828 Å³ per atom
- Density: 1.89 Mg/m³

Geometry as extended XYZ:
```
11
Lattice="1.492 -3.300 -5.230 -0.587 6.108 -0.082 0.961 11.813 26.961" Properties=species:S:1:pos:R:3 pbc="T T T"
S 1.197 3.657 4.191
S 1.697 11.891 20.872
S 1.309 5.799 4.161
S 0.557 8.822 17.488
S 0.176 6.584 2.731
S 0.668 10.964 17.459
S 0.168 2.731 0.778
S 1.690 8.037 18.918
H 1.179 3.497 2.834
H 0.687 11.124 18.816
Ca 0.000 0.000 0.000
```



An optimized crystal structure of Ca2H2S. Source: Alexandria, functional PBE-GGA.

Summary:
- Uncorrected energy: -20.5 eV per cell
- Volume: 15.734 Å³ per atom
- Density of states at the Fermi level: 0.00 states/eV per cell
- Density: 2.41 Mg/m³

Geometry as extended XYZ:
```
5
Lattice="3.637 0.000 0.000 0.000 3.637 0.000 1.818 1.818 5.948" Properties=species:S:1:pos:R:3 pbc="T T T"
Ca 1.818 1.818 1.634
Ca 3.637 3.637 4.314
H 1.818 3.637 2.974
H 3.637 1.818 2.974
S 0.000 0.000 0.000
```



An optimized crystal structure of CaHS. Source: Alexandria, functional PBE-GGA.

Summary:
- Uncorrected energy: -53.2 eV per cell
- Volume: 18.422 Å³ per atom
- Density of states at the Fermi level: 0.00 states/eV per cell
- Density: 2.20 Mg/m³

Geometry as extended XYZ:
```
12
Lattice="-3.382 -5.634 -2.965 -1.460 -1.133 3.817 -5.676 4.419 -0.859" Properties=species:S:1:pos:R:3 pbc="T T T"
Ca -6.112 1.118 0.350
Ca -2.544 -0.525 -1.129
Ca -6.102 -1.466 -2.769
Ca -3.994 -4.242 -0.431
S -4.912 -1.397 0.062
S -7.020 1.378 -2.276
S -8.440 -2.294 -1.553
S -4.872 -3.937 -3.032
H -2.205 -1.531 1.058
H -1.626 -1.129 1.399
H -3.734 1.647 -0.939
H -4.313 1.245 -1.280
```



An optimized crystal structure of CaHS. Source: Alexandria, functional PBE-GGA.

Summary:
- Uncorrected energy: -26.9 eV per cell
- Volume: 21.629 Å³ per atom
- Density of states at the Fermi level: 0.00 states/eV per cell
- Density: 1.87 Mg/m³

Geometry as extended XYZ:
```
6
Lattice="3.943 -0.001 0.001 0.000 3.955 0.000 1.574 1.932 8.323" Properties=species:S:1:pos:R:3 pbc="T T T"
Ca 2.036 4.611 5.385
Ca 4.009 2.634 2.703
S 2.037 0.657 2.556
S 4.007 2.634 5.533
H 1.554 4.210 8.202
H 1.583 4.968 8.217
```



An optimized crystal structure of Ca2HS. Source: Alexandria, functional PBE-GGA.

Summary:
- Uncorrected energy: -15.9 eV per cell
- Volume: 20.441 Å³ per atom
- Density of states at the Fermi level: 2.39 states/eV per cell
- Density: 2.30 Mg/m³

Geometry as extended XYZ:
```
4
Lattice="-1.325 0.674 -3.622 -3.399 -1.556 -1.162 -4.554 4.705 0.426" Properties=species:S:1:pos:R:3 pbc="T T T"
S -4.639 1.912 -2.179
H 0.000 0.000 0.000
Ca -2.283 0.894 -1.114
Ca -6.995 2.929 -3.243
```